(1)
This record from Alexandria via LeMat-Bulk describes a relaxed CaNpRuRh crystal. The functional is PBE-GGA.

a = 4.7736 Å, b = 4.7736 Å, c = 4.7736 Å
α = 60.00°, β = 60.00°, γ = 60.00°
Last column: nearest neighbours and their distance in Å.
Atoms (fractional coordinates):
Np 0.7500 0.7500 0.7500  4 Ru 2.92, 4 Rh 2.92
Ca 0.2500 0.2500 0.2500  4 Rh 2.92, 4 Ru 2.92
Rh 0.0000 0.0000 0.0000  4 Ca 2.92, 4 Np 2.92
Ru 0.5000 0.5000 0.5000  4 Np 2.92, 4 Ca 2.92

Computed properties:
- Crystal system: cubic
- Energy: -7.985 eV/atom
- Energy of formation: -0.092 eV/atom
- ρ: 10.4 Mg/m³
- Symmetry: No. 216

---

(2)
This record from Alexandria via LeMat-Bulk describes a relaxed Ho2Ga2Os2C crystal. The functional is PBE-GGA.

a = 3.9946 Å, b = 5.8222 Å, c = 6.1411 Å
α = 71.73°, β = 71.02°, γ = 69.94°
Last column: nearest neighbours and their distance in Å.
Atoms (fractional coordinates):
Ho 0.4343 0.8420 0.2894  2 C 2.63
Os 0.8005 0.3146 0.0843  1 C 1.89
C 0.0000 0.0000 0.0000  2 Os 1.89
Os 0.1995 0.6854 0.9157  1 C 1.89
Ga 0.1433 0.3883 0.3250  3 Os 2.52-2.56, 1 Ga 2.60
Ho 0.5657 0.1580 0.7106  2 C 2.63
Ga 0.8567 0.6117 0.6750  3 Os 2.52-2.56, 1 Ga 2.60

Computed properties:
- Crystal system: monoclinic
- Energy: -7.184 eV/atom
- Energy of formation: -0.485 eV/atom
- ρ: 11.6 Mg/m³
- Symmetry: No. 12

---

(3)
This record from Alexandria via LeMat-Bulk describes a relaxed Tm11Mg9Zn4 crystal. The functional is PBE-GGA.

a = 3.7207 Å, b = 13.2006 Å, c = 13.2006 Å
α = 112.89°, β = 90.00°, γ = 90.00°
Last column: nearest neighbours and their distance in Å.
Atoms (fractional coordinates):
Mg 0.5000 0.9345 0.7861  1 Zn 3.19, 8 Tm 3.20-3.33, 1 Mg 3.26
Tm 0.0000 0.3619 0.6381  4 Zn 2.96
Mg 0.5000 0.2139 0.0655  1 Zn 3.19, 8 Tm 3.20-3.33, 1 Mg 3.26
Mg 0.5000 0.5000 0.5000  4 Zn 2.98
Tm 0.0000 0.4158 0.0776  2 Zn 2.93, 4 Mg 3.20-3.24
Tm 0.0000 0.0776 0.4158  2 Zn 2.93, 4 Mg 3.20-3.24
Tm 0.0000 0.1585 0.8415  8 Mg 3.28-3.33, 3 Tm 3.49-3.61
Mg 0.5000 0.3669 0.8530  1 Mg 3.21, 8 Tm 3.24-3.37, 1 Zn 3.28
Zn 0.5000 0.5484 0.7401  6 Tm 2.93-2.96, 3 Mg 2.98-3.28
Tm 0.0000 0.6381 0.3619  4 Zn 2.96
Mg 0.5000 0.7861 0.9345  1 Zn 3.19, 8 Tm 3.20-3.33, 1 Mg 3.26
Tm 0.0000 0.8415 0.1585  8 Mg 3.28-3.33, 3 Tm 3.49-3.61
Tm 0.0000 0.7079 0.7079  4 Zn 2.96
Mg 0.5000 0.6331 0.1470  1 Mg 3.21, 8 Tm 3.24-3.37, 1 Zn 3.28
Tm 0.0000 0.5842 0.9224  2 Zn 2.93, 4 Mg 3.20-3.24
Tm 0.0000 0.9224 0.5842  2 Zn 2.93, 4 Mg 3.20-3.24
Mg 0.5000 0.0655 0.2139  1 Zn 3.19, 8 Tm 3.20-3.33, 1 Mg 3.26
Mg 0.5000 0.8530 0.3669  1 Mg 3.21, 8 Tm 3.24-3.37, 1 Zn 3.28
Zn 0.5000 0.7401 0.5484  6 Tm 2.93-2.96, 3 Mg 2.98-3.28
Zn 0.5000 0.2599 0.4516  6 Tm 2.93-2.96, 3 Mg 2.98-3.28
Tm 0.0000 0.2921 0.2921  4 Zn 2.96
Zn 0.5000 0.4516 0.2599  6 Tm 2.93-2.96, 3 Mg 2.98-3.28
Tm 0.0000 0.0000 0.0000  8 Mg 3.21, 2 Tm 3.49
Mg 0.5000 0.1470 0.6331  1 Mg 3.21, 8 Tm 3.24-3.37, 1 Zn 3.28

Computed properties:
- Crystal system: orthorhombic
- Energy: -3.005 eV/atom
- Energy of formation: -0.145 eV/atom
- ρ: 6.5 Mg/m³
- Symmetry: No. 65